MgSb2Br (GGA-PBE, optimized geometry); total magnetic moment = 0.0000 μB/atom; VASP energy = -3.290 eV per atom; ΔE_f (raw) = -1.648 eV/f.u.; D(E_F) = 0.761 states/eV per cell; relative energy among the computed polymorphs = 0.0 kJ/mol of atoms
1.0
4.1303 0.0000 0.0000
0.0000 3.8629 0.0000
-1.8330 0.0000 8.3361
Mg Sb Br
1 2 1
direct
0.0000 0.0000 0.0000
0.4283 0.5000 0.7878
0.8654 0.0000 0.6436
0.1157 0.5000 0.2034



MgSb2Br (GGA-PBE, optimized geometry); total magnetic moment = 0.0000 μB/atom; VASP energy = -2.970 eV per atom; ΔE_f (raw) = -0.367 eV/f.u.; D(E_F) = 2.709 states/eV per cell; relative energy among the computed polymorphs = 30.9 kJ/mol of atoms
1.0
-2.0824 2.0824 6.8029
2.0824 -2.0824 6.8029
2.0824 2.0824 -6.8029
Mg Sb Br
1 2 1
direct
0.0000 0.0000 0.0000
0.2500 0.7500 0.5000
0.7500 0.2500 0.5000
0.5000 0.5000 0.0000



Q: relative energy among the computed polymorphs of number 2 (MgSb2Br)?
A: 30.9 kJ/mol of atoms



What did the first record say?
MgSb2Br (GGA-PBE, optimized geometry); total magnetic moment = 0.0000 μB/atom; VASP energy = -3.290 eV per atom; ΔE_f (raw) = -1.648 eV/f.u.; D(E_F) = 0.761 states/eV per cell; relative energy among the computed polymorphs = 0.0 kJ/mol of atoms
1.0
4.1303 0.0000 0.0000
0.0000 3.8629 0.0000
-1.8330 0.0000 8.3361
Mg Sb Br
1 2 1
direct
0.0000 0.0000 0.0000
0.4283 0.5000 0.7878
0.8654 0.0000 0.6436
0.1157 0.5000 0.2034